The following is a PBE calculation of a relaxed structure of TbNd2ZrP4, from the Alexandria database.

a = 6.9469 Å, b = 4.0085 Å, c = 6.9652 Å
α = 90.00°, β = 109.23°, γ = 90.00°
Closest atoms and distances in Å follow each position.
Space group P2/m (No. 10)
Symmetry-distinct sites (fractional):
Tb 0.0000 0.0000 0.0000 (multiplicity 1)  6 P 2.81
Nd 0.0000 0.5000 0.5000 (multiplicity 1)  6 P 2.94-2.95
Nd 0.5000 0.0000 0.5000 (multiplicity 1)  6 P 2.87-2.88
Zr 0.5000 0.5000 0.0000 (multiplicity 1)  6 P 2.73-2.74
P 0.2540 0.5000 0.2344 (multiplicity 2)  1 Zr 2.73, 2 Tb 2.81, 3 Nd 2.88-2.95
P 0.2649 0.0000 0.7705 (multiplicity 2)  2 Zr 2.74, 1 Tb 2.81, 3 Nd 2.87-2.94

As for the formation energy: -1.504 eV per atom. The energy comes out at -56.38 eV for the cell shown. The value obtained for the spin magnetization is 0.000 μB/atom.